[1]
The following is a DFT calculation (PBE) of a relaxed structure of LiScFePb.

Cell lengths 4.675, 4.675, 4.675 Å; angles 60.00, 60.00, 60.00 degrees
Element x y z (fractional)
Fe1 0.250 0.250 0.250
Pb1 0.000 0.000 0.000
Li1 0.500 0.500 0.500
Sc1 0.750 0.750 0.750

Space-group type   F-43m, No. 216
Polymorph energy (0 for the lowest one)   112 meV per atom
Magnetization   2.010 μB per formula unit
Calculated total energy   -5.01 eV/atom

[2]
The following is a DFT calculation (PBE) of a relaxed structure of LiScFePb.

Cell lengths 4.734, 4.734, 4.734 Å; angles 60.00, 60.00, 60.00 degrees
Element x y z (fractional)
Sc1 0.000 0.000 0.000
Pb1 0.250 0.250 0.250
Fe1 0.750 0.750 0.750
Li1 0.500 0.500 0.500

Space-group type   F-43m, No. 216
Polymorph energy (0 for the lowest one)   124 meV per atom
Magnetization   2.306 μB per formula unit
Calculated total energy   -5.00 eV/atom

[3]
The following is a DFT calculation (PBE) of a relaxed structure of LiScFePb.

Cell lengths 4.543, 4.543, 4.543 Å; angles 60.00, 60.00, 60.00 degrees
Element x y z (fractional)
Pb1 0.250 0.250 0.250
Fe1 0.000 0.000 0.000
Li1 0.500 0.500 0.500
Sc1 0.750 0.750 0.750

Space-group type   F-43m, No. 216
Polymorph energy (0 for the lowest one)   0 meV per atom
Magnetization   1.676 μB per formula unit
Calculated total energy   -5.13 eV/atom

[4]
The following is a DFT calculation (PBE) of a relaxed structure of LiFePbW.

Cell lengths 4.537, 4.537, 4.537 Å; angles 60.00, 60.00, 60.00 degrees
Element x y z (fractional)
Fe1 0.750 0.750 0.750
Pb1 0.000 0.000 0.000
Li1 0.500 0.500 0.500
W1 0.250 0.250 0.250

Space-group type   F-43m, No. 216
Polymorph energy (0 for the lowest one)   412 meV per atom
Magnetization   3.657 μB per formula unit
Calculated total energy   -5.79 eV/atom

[5]
The following is a DFT calculation (PBE) of a relaxed structure of LiFePbW.

Cell lengths 4.368, 4.368, 4.368 Å; angles 60.00, 60.00, 60.00 degrees
Element x y z (fractional)
W1 0.500 0.500 0.500
Fe1 0.750 0.750 0.750
Pb1 0.000 0.000 0.000
Li1 0.250 0.250 0.250

Space-group type   F-43m, No. 216
Polymorph energy (0 for the lowest one)   0 meV per atom
Magnetization   1.001 μB per formula unit
Calculated total energy   -6.20 eV/atom

[6]
The following is a DFT calculation (PBE) of a relaxed structure of LiZrFePb.

Cell lengths 4.701, 4.701, 4.701 Å; angles 60.00, 60.00, 60.00 degrees
Element x y z (fractional)
Li1 0.500 0.500 0.500
Fe1 0.750 0.750 0.750
Zr1 0.250 0.250 0.250
Pb1 0.000 0.000 0.000

Space-group type   F-43m, No. 216
Polymorph energy (0 for the lowest one)   341 meV per atom
Magnetization   1.968 μB per formula unit
Calculated total energy   -5.35 eV/atom

[7]
The following is a DFT calculation (PBE) of a relaxed structure of LiZrFePb.

Cell lengths 4.571, 4.571, 4.571 Å; angles 60.00, 60.00, 60.00 degrees
Element x y z (fractional)
Li1 0.250 0.250 0.250
Fe1 0.750 0.750 0.750
Pb1 0.000 0.000 0.000
Zr1 0.500 0.500 0.500

Space-group type   F-43m, No. 216
Polymorph energy (0 for the lowest one)   0 meV per atom
Magnetization   0.991 μB per formula unit
Calculated total energy   -5.69 eV/atom

[8]
The following is a DFT calculation (PBE) of a relaxed structure of Li2Sc2FeSn2Pd.

Cell lengths 4.557, 4.557, 6.484 Å; angles 90.00, 90.00, 90.00 degrees
Element x y z (fractional)
Li1 0.500 0.500 0.000
Li2 0.000 0.000 0.500
Sc1 0.000 0.500 0.244
Sc2 0.500 0.000 0.756
Pd1 0.500 0.500 0.500
Fe1 0.000 0.000 0.000
Sn1 0.000 0.500 0.765
Sn2 0.500 0.000 0.235

Space-group type   P-4m2, No. 115
Magnetization   1.704 μB per formula unit
Calculated total energy   -5.29 eV/atom